1.
Material: CaAcCdAu
Method: DFT, PBE
State: relaxed

Properties
The calculated formation energy comes out at -536 meV/atom. As for the space group: F-43m, No. 216.

```
CaAcCdAu
1.0
-3.572 -4.152 0.288
1.249 -4.497 2.881
-2.608 -1.052 4.709
Ac Au Ca Cd
1 1 1 1
direct
0.500 0.500 0.500
0.250 0.250 0.250
0.000 0.000 0.000
0.750 0.750 0.750
```


2.
Material: V3Os4Ru2
Method: DFT, PBE
State: relaxed

Properties
The calculated formation energy comes out at 123 meV/atom. As for the space group: P-1, No. 2.

```
V3Os4Ru2
1.0
-2.107 -6.154 -0.931
0.928 -1.765 -6.456
4.863 -3.633 2.338
V Os Ru
6 8 4
direct
0.046 0.247 0.933
0.432 0.085 0.710
0.954 0.753 0.067
0.568 0.915 0.290
0.752 0.285 0.660
0.248 0.715 0.340
0.638 0.124 0.984
0.129 0.869 0.741
0.362 0.876 0.016
0.871 0.131 0.259
0.004 0.477 0.299
0.570 0.653 0.585
0.996 0.523 0.701
0.430 0.347 0.415
0.659 0.512 0.113
0.821 0.877 0.550
0.341 0.488 0.887
0.179 0.123 0.450
```